Arrangement P

A plane-wave DFT calculation with PBE was carried out for crystalline Tb2Er2In3 at its relaxed geometry.

Structure (CIF):
```
data_Tb2Er2In3
_cell_length_a 4.479
_cell_length_b 25.044
_cell_length_c 3.445
_cell_angle_alpha 90.00
_cell_angle_beta 90.00
_cell_angle_gamma 90.00
_space_group_name_H-M_alt 'C m m m'
_space_group_IT_number 65
_space_group_name_Hall '-C 2 2'
loop_
_atom_site_label
_atom_site_type_symbol
_atom_site_fract_x
_atom_site_fract_y
_atom_site_fract_z
Tb1 Tb 0.000 0.069 0.000
Er1 Er 0.000 0.200 0.000
In1 In 0.000 0.359 0.500
In2 In 0.000 0.500 0.500
```

The total moment is 0.000 μB/atom. The value obtained for the density of states at the Fermi level is 0.959 states/eV per atom. For the density, the calculation gives 8.57 g cm⁻³.

---

Arrangement Q

A plane-wave DFT calculation with PBE was carried out for crystalline Tb2Er2In3 at its relaxed geometry.

Structure (CIF):
```
data_Tb2Er2In3
_cell_length_a 15.012
_cell_length_b 3.566
_cell_length_c 8.292
_cell_angle_alpha 90.00
_cell_angle_beta 118.15
_cell_angle_gamma 90.00
_space_group_name_H-M_alt 'C 1 2/m 1'
_space_group_IT_number 12
_space_group_name_Hall '-C 2y'
loop_
_atom_site_label
_atom_site_type_symbol
_atom_site_fract_x
_atom_site_fract_y
_atom_site_fract_z
Tb1 Tb 0.132 0.000 0.325
Er1 Er 0.188 0.000 0.784
In1 In 0.000 0.500 0.500
In2 In 0.080 0.500 0.949
```

The total moment is 0.000 μB/atom. The value obtained for the density of states at the Fermi level is 0.869 states/eV per atom. For the density, the calculation gives 8.46 g cm⁻³.

---

arrangement Q is preferred energetically. Next in line: 52 meV per atom higher.